Material: BeIBrO2
Method: DFT, PBE
State: optimized geometry

## Properties
Spin magnetization: 0.00 μB/f.u.
Space-group type: No. 123
Energy relative to the elements, uncorrected: 0.65 eV/atom
Energy above the most stable polymorph in this dataset: 478 meV/atom

Lattice parameters (Å, degrees): 3.841 3.841 7.450 90.00 90.00 90.00
Positions (direct):
Br: 0.000 0.000 0.000
Be: 0.500 0.500 0.500
O: 0.500 0.000 0.000
O: 0.000 0.500 0.000
I: 0.000 0.000 0.500